Entry 1:
VASP calculation (PBE) on ScTlCd2F8 after structural relaxation.

POSCAR file:
```
ScTlCd2F8
1.0
-4.337 1.261 2.622
-2.942 -1.013 -4.188
-0.725 -7.037 2.200
Sc Tl Cd F
1 1 2 8
direct
0.000 0.000 0.000 Sc
0.000 0.000 0.500 Tl
0.500 0.500 0.753 Cd
0.500 0.500 0.247 Cd
0.184 0.786 0.190 F
0.705 0.728 0.000 F
0.815 0.213 0.190 F
0.816 0.214 0.810 F
0.295 0.272 0.000 F
0.185 0.787 0.810 F
0.614 0.712 0.500 F
0.386 0.288 0.500 F
```

SG: P-1 (2)
energy: -4.801 eV/atom
E_form (uncorrected): -2.68 eV/atom

=====

Entry 2:
VASP calculation (PBE) on CaIn2Re after structural relaxation.

POSCAR file:
```
CaIn2Re
1.0
-1.760 -2.595 0.176
1.539 -1.210 -2.456
6.126 -3.770 5.698
Re Ca In
1 1 2
direct
0.000 0.000 0.484 Re
0.500 0.500 0.720 Ca
0.000 0.000 0.013 In
0.500 0.500 0.282 In
```

SG: P4mm (99)
energy: -4.525 eV/atom
energy relative to the elements: 1.83 eV/f.u.

=====

Entry 3:
VASP calculation (PBE) on GaAgSbTe2 after structural relaxation.

POSCAR file:
```
GaAgSbTe2
1.0
5.497 0.000 0.000
0.000 5.497 0.000
0.000 0.000 5.171
Sb Te Ga Ag
1 2 1 1
direct
0.000 0.000 0.500 Sb
0.000 0.500 0.000 Te
0.500 0.000 0.000 Te
0.000 0.000 0.000 Ga
0.500 0.500 0.500 Ag
```

SG: P4/mmm (123)
energy: -2.686 eV/atom
E_form (uncorrected): 0.57 eV/atom

=====

Entry 4:
VASP calculation (PBE) on Pr3GaTe4 after structural relaxation.

POSCAR file:
```
Pr3GaTe4
1.0
6.348 0.000 0.000
0.000 9.585 0.000
0.000 0.000 10.538
Pr Ga Te
6 2 8
direct
0.565 0.822 0.000 Pr
0.065 0.664 0.246 Pr
0.565 0.336 0.254 Pr
0.065 0.178 0.500 Pr
0.565 0.336 0.746 Pr
0.065 0.664 0.754 Pr
0.063 0.162 0.000 Ga
0.563 0.838 0.500 Ga
0.065 0.843 0.000 Te
0.564 0.156 0.000 Te
0.065 0.336 0.239 Te
0.565 0.664 0.261 Te
0.064 0.844 0.500 Te
0.565 0.157 0.500 Te
0.565 0.664 0.739 Te
0.065 0.336 0.761 Te
```

SG: Pmn2_1 (31)
energy: -4.766 eV/atom
E_form (uncorrected): -1.02 eV/atom

=====

Entry 5:
VASP calculation (PBE) on Hg3P after structural relaxation.

POSCAR file:
```
Hg3P
1.0
8.369 0.163 0.000
-2.879 7.860 0.000
0.000 0.000 3.302
Hg P
6 2
direct
0.903 0.097 0.750 Hg
0.097 0.903 0.250 Hg
0.898 0.589 0.750 Hg
0.102 0.411 0.250 Hg
0.411 0.102 0.750 Hg
0.589 0.898 0.250 Hg
0.447 0.553 0.250 P
0.553 0.447 0.750 P
```

SG: Cmcm (63)
energy: -1.501 eV/atom
energy relative to the elements: 0.31 eV/f.u.

=====

Entry 6:
VASP calculation (PBE) on TaCr2Mo after structural relaxation.

POSCAR file:
```
TaCr2Mo
1.0
3.662 -2.088 -0.970
2.814 -1.000 3.129
0.523 -4.122 1.202
Cr Mo Ta
2 1 1
direct
0.250 0.250 0.250 Cr
0.750 0.750 0.750 Cr
0.000 0.000 0.000 Mo
0.500 0.500 0.500 Ta
```

SG: Fm-3m (225)
energy: -10.503 eV/atom
energy relative to the elements: -0.08 eV/f.u.

=====

Entry 7:
VASP calculation (PBE) on YFe2Pt after structural relaxation.

POSCAR file:
```
YFe2Pt
1.0
3.251 0.000 0.000
0.000 3.254 0.010
0.000 3.234 6.407
Fe Pt Y
2 1 1
direct
0.000 0.945 0.055 Fe
0.500 0.274 0.226 Fe
0.000 0.530 0.470 Pt
0.500 0.751 0.749 Y
```

SG: P4mm (99)
energy: -7.551 eV/atom
energy relative to the elements: -0.77 eV/f.u.

=====

Entry 8:
VASP calculation (PBE) on MnBe11 after structural relaxation.

POSCAR file:
```
MnBe11
1.0
4.982 0.000 2.272
2.491 6.092 1.136
-0.037 0.000 6.679
Mn Be
2 22
direct
0.500 0.000 0.000 Mn
0.250 0.500 0.500 Mn
0.437 0.829 0.420 Be
0.686 0.171 0.580 Be
0.000 0.000 0.000 Be
0.750 0.500 0.500 Be
0.375 0.750 0.750 Be
0.875 0.750 0.250 Be
0.875 0.250 0.750 Be
0.875 0.250 0.250 Be
0.437 0.420 0.829 Be
0.016 0.671 0.920 Be
0.607 0.329 0.080 Be
0.686 0.580 0.171 Be
0.734 0.580 0.829 Be
0.143 0.420 0.171 Be
0.064 0.329 0.920 Be
0.313 0.671 0.080 Be
0.313 0.080 0.671 Be
0.734 0.829 0.580 Be
0.143 0.171 0.420 Be
0.064 0.920 0.329 Be
0.016 0.920 0.671 Be
0.607 0.080 0.329 Be
```

SG: I4_1/amd (141)
energy: -4.157 eV/atom
energy relative to the elements: 0.27 eV/f.u.

=====

Entry 9:
VASP calculation (PBE) on Pu5TlAu4 after structural relaxation.

POSCAR file:
```
Pu5TlAu4
1.0
-2.768 -0.203 -2.681
1.290 -3.476 -1.069
-10.040 -7.078 10.905
Pu Tl Au
5 1 4
direct
0.500 0.500 0.114 Pu
0.500 0.500 0.307 Pu
0.500 0.500 0.500 Pu
0.500 0.500 0.693 Pu
0.500 0.500 0.886 Pu
0.000 0.000 0.000 Tl
0.000 0.000 0.208 Au
0.000 0.000 0.403 Au
0.000 0.000 0.597 Au
0.000 0.000 0.792 Au
```

SG: P4/mmm (123)
energy: -9.028 eV/atom
energy relative to the elements: -3.14 eV/f.u.

=====

Entry 10:
VASP calculation (PBE) on Zn12Tc after structural relaxation.

POSCAR file:
```
Zn12Tc
1.0
6.406 0.000 0.000
-2.135 6.039 0.000
-2.135 -3.020 5.230
Tc Zn
1 12
direct
0.000 0.000 0.000 Tc
0.124 0.310 0.814 Zn
0.496 0.310 0.186 Zn
0.504 0.690 0.814 Zn
0.876 0.690 0.186 Zn
0.186 0.876 0.690 Zn
0.814 0.504 0.690 Zn
0.186 0.496 0.310 Zn
0.814 0.124 0.310 Zn
0.690 0.814 0.504 Zn
0.690 0.186 0.876 Zn
0.310 0.814 0.124 Zn
0.310 0.186 0.496 Zn
```

SG: Im-3 (204)
energy: -1.921 eV/atom
energy relative to the elements: 0.68 eV/f.u.

=====

Entry 11:
VASP calculation (PBE) on Na2CdAs after structural relaxation.

POSCAR file:
```
Na2CdAs
1.0
-2.265 4.418 -1.740
-4.500 -4.168 3.229
1.288 2.782 5.385
Na Cd As
4 2 2
direct
0.331 0.662 0.987 Na
0.669 0.338 0.013 Na
0.669 0.338 0.487 Na
0.331 0.662 0.513 Na
0.078 0.156 0.750 Cd
0.922 0.844 0.250 Cd
0.867 0.734 0.750 As
0.133 0.266 0.250 As
```

SG: Cmcm (63)
energy: -2.250 eV/atom
energy relative to the elements: -0.80 eV/f.u.

=====

Entry 12:
VASP calculation (PBE) on V2SiCI after structural relaxation.

POSCAR file:
```
V2SiCI
1.0
4.834 0.000 0.000
0.000 3.605 0.000
0.000 0.000 4.834
I Si C V
1 1 1 2
direct
0.500 0.500 0.500 I
0.000 0.000 0.000 Si
0.000 0.500 0.000 C
0.000 0.000 0.500 V
0.500 0.000 0.000 V
```

SG: P4/mmm (123)
energy: -5.797 eV/atom
E_form (uncorrected): 1.09 eV/atom

=====

Entry 13:
VASP calculation (PBE) on YTi2Bi2 after structural relaxation.

POSCAR file:
```
YTi2Bi2
1.0
4.122 0.000 0.000
0.000 4.122 0.000
2.061 2.061 7.281
Y Bi Ti
1 2 2
direct
0.000 0.000 0.000 Y
0.387 0.387 0.225 Bi
0.613 0.613 0.775 Bi
0.750 0.250 0.500 Ti
0.250 0.750 0.500 Ti
```

SG: I4/mmm (139)
energy: -6.255 eV/atom
energy relative to the elements: -1.26 eV/f.u.

=====

Entry 14:
VASP calculation (PBE) on Pr2ScTi after structural relaxation.

POSCAR file:
```
Pr2ScTi
1.0
3.331 0.000 0.000
1.666 2.885 0.000
1.666 0.962 11.676
Pr Sc Ti
2 1 1
direct
0.084 0.084 0.747 Pr
0.916 0.916 0.253 Pr
0.500 0.500 0.500 Sc
0.000 0.000 0.000 Ti
```

SG: R-3m (166)
energy: -5.483 eV/atom
energy relative to the elements: 1.85 eV/f.u.

=====

Entry 15:
VASP calculation (PBE) on PrSi3Ni9 after structural relaxation.

POSCAR file:
```
PrSi3Ni9
1.0
-0.102 -1.681 4.512
-3.049 -5.290 0.262
4.952 -3.773 1.277
Pr Si Ni
1 3 9
direct
0.000 0.000 0.000 Pr
0.500 0.500 0.000 Si
0.000 0.000 0.500 Si
0.500 0.000 0.500 Si
0.718 0.771 0.768 Ni
0.282 0.229 0.232 Ni
0.513 0.229 0.768 Ni
0.487 0.771 0.232 Ni
0.668 0.344 0.358 Ni
0.332 0.656 0.642 Ni
0.975 0.656 0.358 Ni
0.025 0.344 0.642 Ni
0.000 0.500 0.000 Ni
```

SG: C2/m (12)
energy: -6.065 eV/atom
E_form (uncorrected): -0.44 eV/atom

=====

Entry 16:
VASP calculation (PBE) on AcGa2Pd5 after structural relaxation.

POSCAR file:
```
AcGa2Pd5
1.0
4.043 0.000 0.000
2.021 6.232 0.515
2.021 1.651 6.031
Ac Ga Pd
1 2 5
direct
0.000 0.000 0.000 Ac
0.761 0.739 0.739 Ga
0.239 0.261 0.261 Ga
0.000 0.500 0.500 Pd
0.645 0.551 0.160 Pd
0.355 0.449 0.840 Pd
0.355 0.840 0.449 Pd
0.645 0.160 0.551 Pd
```

SG: Immm (71)
energy: -5.233 eV/atom
energy relative to the elements: -5.74 eV/f.u.

=====

Entry 17:
VASP calculation (PBE) on HfZn3F after structural relaxation.

POSCAR file:
```
HfZn3F
1.0
-2.953 2.380 3.853
-4.522 -1.816 -2.344
0.262 -4.502 2.982
Zn Hf F
3 1 1
direct
0.000 0.500 0.000 Zn
0.000 0.000 0.500 Zn
0.500 0.000 0.000 Zn
0.000 0.000 0.000 Hf
0.500 0.500 0.500 F
```

SG: Pm-3m (221)
energy: -2.462 eV/atom
E_form (uncorrected): 0.67 eV/atom

=====

Entry 18:
VASP calculation (PBE) on VCr2Bi after structural relaxation.

POSCAR file:
```
VCr2Bi
1.0
-2.659 -2.710 1.189
1.642 -0.021 3.624
-5.996 5.126 4.931
Cr Bi V
4 2 2
direct
0.533 0.125 0.250 Cr
0.217 0.625 0.250 Cr
0.375 0.467 0.750 Cr
0.875 0.783 0.750 Cr
0.000 0.000 0.000 Bi
0.750 0.250 0.500 Bi
0.500 0.500 0.000 V
0.250 0.750 0.500 V
```

SG: I-42d (122)
energy: -7.087 eV/atom
energy relative to the elements: 3.90 eV/f.u.

=====

Entry 19:
VASP calculation (PBE) on AgTeI5 after structural relaxation.

POSCAR file:
```
AgTeI5
1.0
7.389 0.638 -2.210
-2.265 7.244 -1.512
-0.768 -0.480 11.660
Ag Te I
2 2 10
direct
0.695 0.945 0.250 Ag
0.305 0.055 0.750 Ag
0.000 0.000 0.000 Te
0.000 0.500 0.500 Te
0.273 0.823 0.155 I
0.264 0.825 0.510 I
0.332 0.383 0.655 I
0.989 0.239 0.250 I
0.316 0.255 0.990 I
0.684 0.745 0.010 I
0.011 0.761 0.750 I
0.668 0.617 0.345 I
0.736 0.175 0.490 I
0.727 0.177 0.845 I
```

SG: C2/c (15)
energy: -2.050 eV/atom
E_form (uncorrected): -0.09 eV/atom

=====

Entry 20:
VASP calculation (PBE) on TiMnFe2 after structural relaxation.

POSCAR file:
```
TiMnFe2
1.0
3.032 -2.678 -0.671
-0.408 -3.901 1.195
-0.464 -2.963 -2.796
Mn Fe Ti
1 2 1
direct
0.500 0.500 0.500 Mn
0.250 0.250 0.250 Fe
0.750 0.750 0.750 Fe
0.000 0.000 0.000 Ti
```

SG: Fm-3m (225)
energy: -8.605 eV/atom
energy relative to the elements: -0.43 eV/f.u.

=====

Entry 21:
VASP calculation (PBE) on BeCo2Tc after structural relaxation.

POSCAR file:
```
BeCo2Tc
1.0
3.367 0.000 0.000
0.000 3.367 0.000
1.684 1.684 8.206
Be Co Tc
2 4 2
direct
0.500 0.500 0.000 Be
0.250 0.750 0.500 Be
0.596 0.125 0.250 Co
0.154 0.625 0.250 Co
0.375 0.404 0.750 Co
0.875 0.846 0.750 Co
0.000 0.000 0.000 Tc
0.750 0.250 0.500 Tc
```

SG: I-42d (122)
energy: -6.734 eV/atom
energy relative to the elements: 1.37 eV/f.u.

=====

Entry 22:
VASP calculation (PBE) on Pa2Al2Si4Pt after structural relaxation.

POSCAR file:
```
Pa2Al2Si4Pt
1.0
6.019 -0.218 -0.345
-2.618 5.425 0.345
-2.618 -2.004 5.053
Pa Al Si Pt
2 2 4 1
direct
0.500 0.750 0.250 Pa
0.500 0.250 0.750 Pa
0.000 0.703 0.703 Al
0.000 0.297 0.297 Al
0.000 0.719 0.281 Si
0.437 0.719 0.719 Si
0.000 0.281 0.719 Si
0.563 0.281 0.281 Si
0.000 0.000 0.000 Pt
```

SG: I4/mmm (139)
energy: -6.515 eV/atom
E_form (uncorrected): -0.49 eV/atom

=====

Entry 23:
VASP calculation (PBE) on LiLa3Pd8 after structural relaxation.

POSCAR file:
```
LiLa3Pd8
1.0
0.201 -4.793 2.690
2.710 -4.263 -2.176
8.488 -0.365 4.336
Li La Pd
1 3 8
direct
0.864 0.864 0.407 Li
0.379 0.379 0.864 La
0.989 0.989 0.032 La
0.509 0.509 0.474 La
0.941 0.437 0.185 Pd
0.438 0.939 0.683 Pd
0.437 0.437 0.185 Pd
0.939 0.939 0.683 Pd
0.189 0.189 0.433 Pd
0.689 0.689 0.934 Pd
0.437 0.941 0.185 Pd
0.939 0.438 0.683 Pd
```

SG: R3m (160)
energy: -5.589 eV/atom
energy relative to the elements: -8.82 eV/f.u.

=====

Entry 24:
VASP calculation (PBE) on Ce2BiN after structural relaxation.

POSCAR file:
```
Ce2BiN
1.0
4.691 0.000 0.000
0.000 4.691 0.000
0.000 0.000 9.225
Ce Bi N
4 2 2
direct
0.750 0.250 0.000 Ce
0.250 0.750 0.000 Ce
0.750 0.750 0.672 Ce
0.250 0.250 0.328 Ce
0.750 0.750 0.301 Bi
0.250 0.250 0.699 Bi
0.750 0.750 0.911 N
0.250 0.250 0.089 N
```

SG: P4/nmm (129)
energy: -7.162 eV/atom
E_form (uncorrected): -1.14 eV/atom